Density functional theory data (GGA+U) for an optimized crystal structure of Li2MnV2O7.

The calculation puts the total energy at -84.312 eV for the cell shown. Its space group is R32. The volume comes out at 182 Å³/cell.

abc: 8.177 8.177 8.177
angles: 37.52 37.52 37.52
Element x y z (fractional)
Li  0.230  0.230  0.230
Li  0.770  0.770  0.770
Mn  0.500  0.500  0.500
V  0.079  0.079  0.079
V  0.921  0.921  0.921
O  0.000  0.000  0.000
O  0.129  0.401  0.788
O  0.212  0.599  0.871
O  0.401  0.788  0.129
O  0.599  0.871  0.212
O  0.788  0.129  0.401
O  0.871  0.212  0.599